# 1
Entry from Alexandria via LeMat-Bulk: a relaxed CePm2NdBi4 crystal (PBE-GGA).

Total magnetization, Bohr magnetons per cell: 0.80
Space group: No. 10
ΔE_f, kJ/mol of atoms: -88

Lattice parameters (Å, degrees): 7.952 4.589 7.953 90.00 109.38 90.00
Fractional positions:
Ce (0.000, 0.000, 0.000)
Pm (0.500, 0.000, 0.500)
Pm (0.500, 0.500, 0.000)
Nd (0.000, 0.500, 0.500)
Bi (0.250, 0.500, 0.249)
Bi (0.251, 0.000, 0.752)
Bi (0.749, 0.000, 0.248)
Bi (0.750, 0.500, 0.751)


# 2
Entry from Alexandria via LeMat-Bulk: a relaxed LaZr2Co2 crystal (PBE-GGA).

Total magnetization, Bohr magnetons per cell: 0.00
Space group: No. 139
ΔE_f, kJ/mol of atoms: -18

Lattice parameters (Å, degrees): 6.047 6.047 6.047 136.60 136.60 63.05
Fractional positions:
La (0.000, 0.000, 0.000)
Zr (0.250, 0.750, 0.500)
Zr (0.750, 0.250, 0.500)
Co (0.385, 0.385, 0.000)
Co (0.615, 0.615, 0.000)


Q: Which of these has the highest ΔE_f?
A: LaZr2Co2


Please write out number 1 again, unchanged.
Entry from Alexandria via LeMat-Bulk: a relaxed CePm2NdBi4 crystal (PBE-GGA).

Total magnetization, Bohr magnetons per cell: 0.80
Space group: No. 10
ΔE_f, kJ/mol of atoms: -88

Lattice parameters (Å, degrees): 7.952 4.589 7.953 90.00 109.38 90.00
Fractional positions:
Ce (0.000, 0.000, 0.000)
Pm (0.500, 0.000, 0.500)
Pm (0.500, 0.500, 0.000)
Nd (0.000, 0.500, 0.500)
Bi (0.250, 0.500, 0.249)
Bi (0.251, 0.000, 0.752)
Bi (0.749, 0.000, 0.248)
Bi (0.750, 0.500, 0.751)


Q: Which value of ΔE_f does entry 2 give?
A: -18 kJ/mol of atoms


Q: Which of these has the lowest ΔE_f?
A: CePm2NdBi4